DFT (PBE) results for a relaxed BaIrS2O8 crystal.

```
12
Lattice="2.4917 1.4386 7.6012 -2.4917 1.4386 7.6012 0.0000 -2.8771 7.6012" Properties=species:S:1:pos:R:3 pbc="T T T"
Ba 0.0000 0.0000 0.0000
Ir 0.0000 0.0000 11.4018
S 0.0000 0.0000 5.5690
S 0.0000 0.0000 17.2345
O -1.7556 -0.2118 10.0771
O -0.6944 -1.6263 12.7265
O 0.0000 0.0000 7.0714
O 1.0612 -1.4146 10.0771
O -1.0612 1.4146 12.7265
O 0.0000 0.0000 15.7321
O 0.6944 1.6263 10.0771
O 1.7556 0.2118 12.7265
```

Output
energy relative to the elements, uncorrected	-1356	meV/atom
symmetry	R-3 (148)

***

DFT (PBE) results for a relaxed Nd6YMg2 crystal.

```
9
Lattice="3.0973 -5.3163 0.0000 3.0973 5.3163 0.0000 0.0000 0.0000 8.8343" Properties=species:S:1:pos:R:3 pbc="T T T"
Nd 1.5869 0.9034 5.8505
Nd 3.0973 3.4719 0.0000
Nd 1.5869 -0.9034 2.9839
Nd 4.6076 0.9034 2.9839
Nd 3.0973 -3.4719 0.0000
Nd 4.6076 -0.9034 5.8505
Y 3.0973 0.0000 0.0000
Mg 1.5486 2.6582 2.9007
Mg 1.5486 -2.6582 5.9336
```

Output
formation energy	0.063	eV/atom
symmetry	C222 (21)

***

| no. | M_tot (μB/atom) | density of states at the Fermi level (states/eV per atom) |
| --- | --- | --- |
| 1 | 0.083 | 0.51 |
| 2 | 0.000 | 1.35 |